# 1
A plane-wave DFT calculation with PBE-GGA was carried out for a geometry-optimized La14Hg6C3 structure.

Cell and atoms, written as POSCAR:
```
La14Hg6C3
1.0
11.569 0.000 0.000
-5.785 10.019 0.000
0.000 0.000 6.307
La Hg C
14 6 3
Direct
0.000 0.000 0.000
0.093 0.227 0.487
0.134 0.907 0.487
0.195 0.755 0.983
0.245 0.440 0.983
0.333 0.667 0.495
0.452 0.253 0.305
0.533 0.119 0.768
0.560 0.805 0.983
0.586 0.467 0.768
0.747 0.199 0.305
0.773 0.866 0.487
0.801 0.548 0.305
0.881 0.414 0.768
0.039 0.479 0.299
0.296 0.186 0.811
0.440 0.961 0.299
0.521 0.560 0.299
0.814 0.110 0.811
0.890 0.704 0.811
0.000 0.000 0.386
0.333 0.667 0.881
0.667 0.333 0.540
```

Its formation energy is -0.254 eV per atom. The value obtained for the total energy is -4.535 eV per atom. Its space group is P3 (143). The spin magnetization comes out at 0.00 Bohr magnetons per cell.



# 2
A plane-wave DFT calculation with PBE-GGA was carried out for a geometry-optimized Sb2OsIN structure.

Cell and atoms, written as POSCAR:
```
Sb2OsIN
1.0
4.624 0.000 0.000
0.000 4.624 0.000
0.000 0.000 4.604
Sb Os I N
2 1 1 1
Direct
0.000 0.500 0.000
0.500 0.000 0.000
0.000 0.000 0.500
0.500 0.500 0.500
0.500 0.500 0.000
```

The value obtained for the total energy is -4.494 eV per atom. Its space group is P4/mmm (123). The spin magnetization comes out at 0.00 Bohr magnetons per cell. Its raw formation energy is 1.376 eV/atom.



- spin magnetization of number 2 (Sb2OsIN)?
  0.00 Bohr magnetons per cell



- Look up the spin magnetization of the second one.
  0.00 Bohr magnetons per cell